Material: Ho4Bi3H4
Method: DFT, PBE
State: optimized geometry

Cell and atoms, written as POSCAR:
```
Ho4Bi3H4
1.0
-2.084 3.803 6.995
2.084 -3.803 6.995
2.084 3.803 -6.995
Ho Bi H
4 3 4
Cartesian
0.000 0.000 2.971 Ho
2.084 2.070 0.000 Ho
0.000 1.733 6.995 Ho
0.000 0.000 11.019 Ho
0.000 0.000 0.000 Bi
2.084 0.000 5.291 Bi
0.000 3.803 1.704 Bi
2.084 1.303 -2.391 H
0.000 2.500 9.386 H
2.084 1.303 2.391 H
0.000 2.500 4.604 H
```

Results
space-group type: Immm, No. 71
total magnetization: 0.00 μB per formula unit
E_tot: -4.3838 eV per atom